# 1
This record from Alexandria via LeMat-Bulk describes a relaxed Nd5Er2Cd4 crystal. The functional is PBE.

Cell: 24.4687 3.4147 8.0754 Å, 90.00 92.60 90.00°
Space group C2/m (No. 12)
Symmetry-distinct sites (fractional):
Nd (0.0000, 0.0000, 0.0000) x2
Nd (0.1401, 0.5000, 0.1232) x4
Nd (0.2327, 0.5000, 0.7863) x4
Er (0.0905, 0.5000, 0.7194) x4
Cd (0.0368, 0.5000, 0.3568) x4
Cd (0.1624, 0.0000, 0.4718) x4

Values from the calculation:
DOS at the Fermi energy, states/eV/f.u.: 15.345
ΔH_f (0 K), kJ/mol of atoms: 1

# 2
This record from Alexandria via LeMat-Bulk describes a relaxed Nd4ErCd crystal. The functional is PBE.

Cell: 3.6821 3.6821 14.2851 Å, 90.00 90.00 90.00°
Space group P4/mmm (No. 123)
Symmetry-distinct sites (fractional):
Nd (0.0000, 0.0000, 0.1476) x2
Nd (0.5000, 0.5000, 0.3265) x2
Er (0.0000, 0.0000, 0.5000) x1
Cd (0.5000, 0.5000, 0.0000) x1

Values from the calculation:
DOS at the Fermi energy, states/eV/f.u.: 7.313
E above lowest polymorph, kJ per mole of atoms: 0.0
ΔH_f (0 K), kJ/mol of atoms: -9

# 3
This record from Alexandria via LeMat-Bulk describes a relaxed Nd3Er3Cd2 crystal. The functional is PBE.

Cell: 5.2656 11.7479 15.8946 Å, 90.00 90.00 90.00°
Space group Cmcm (No. 63)
Symmetry-distinct sites (fractional):
Nd (0.0000, 0.0382, 0.1063) x8
Nd (0.0000, 0.2673, 0.2500) x4
Er (0.0000, 0.3571, 0.0359) x8
Er (0.0000, 0.4529, 0.7500) x4
Cd (0.0000, 0.2367, 0.6318) x8

Values from the calculation:
DOS at the Fermi energy, states/eV/f.u.: 8.850
ΔH_f (0 K), kJ/mol of atoms: -7

# 4
This record from Alexandria via LeMat-Bulk describes a relaxed NdEr8Cd6 crystal. The functional is PBE.

Cell: 8.9588 8.9588 18.9893 Å, 90.00 90.00 120.00°
Space group R-3 (No. 148, hexagonal axes)
Symmetry-distinct sites (fractional):
Nd (0.0000, 0.0000, 0.0000) x3
Er (0.0000, 0.0000, 0.3327) x6
Er (0.0017, 0.3316, 0.1160) x18
Cd (0.0000, 0.3401, 0.9468) x18

Values from the calculation:
DOS at the Fermi energy, states/eV/f.u.: 18.014
ΔH_f (0 K), kJ/mol of atoms: -5

# 5
This record from Alexandria via LeMat-Bulk describes a relaxed Nd3Er12Cd crystal. The functional is PBE.

Cell: 4.9590 4.9590 19.9798 Å, 90.00 90.00 90.00°
Space group P4/mmm (No. 123)
Symmetry-distinct sites (fractional):
Nd (0.0000, 0.0000, 0.0000) x1
Nd (0.0000, 0.0000, 0.2526) x2
Er (0.0000, 0.5000, 0.1272) x4
Er (0.0000, 0.5000, 0.3804) x4
Er (0.5000, 0.5000, 0.0000) x1
Er (0.5000, 0.5000, 0.2572) x2
Er (0.5000, 0.5000, 0.5000) x1
Cd (0.0000, 0.0000, 0.5000) x1

Values from the calculation:
DOS at the Fermi energy, states/eV/f.u.: 19.856
ΔH_f (0 K), kJ/mol of atoms: 0

# 6
This record from Alexandria via LeMat-Bulk describes a relaxed Nd2ErCd3 crystal. The functional is PBE.

Cell: 3.7841 3.7841 11.5852 Å, 90.00 90.00 90.00°
Space group P4/mmm (No. 123)
Symmetry-distinct sites (fractional):
Nd (0.0000, 0.0000, 0.1717) x2
Er (0.0000, 0.0000, 0.5000) x1
Cd (0.5000, 0.5000, 0.0000) x1
Cd (0.5000, 0.5000, 0.3474) x2

Values from the calculation:
DOS at the Fermi energy, states/eV/f.u.: 6.711
ΔH_f (0 K), kJ/mol of atoms: -30